[1]
# Ba2AuCl

A crystal of Ba2AuCl relaxed with PBEsol (SCAN, Alexandria via LeMat-Bulk).

a = 8.4230 Å, b = 8.4230 Å, c = 8.4230 Å
α = 31.13°, β = 31.13°, γ = 31.13°
Positions (direct):
1 Ba 0.2443 0.2443 0.2443
2 Ba 0.7557 0.7557 0.7557
3 Au 0.5000 0.5000 0.5000
4 Cl 0.0000 0.0000 0.0000

Computed properties:
ΔE to the lowest computed polymorph ... 0.0 meV per atom
Energy relative to the elements, uncorrected ... -1.50 eV per atom

[2]
# BeAsP

A crystal of BeAsP relaxed with PBEsol (SCAN, Alexandria via LeMat-Bulk).

a = 4.1302 Å, b = 4.1302 Å, c = 4.1302 Å
α = 60.00°, β = 60.00°, γ = 60.00°
Positions (direct):
1 Be 0.0000 0.0000 0.0000
2 As 0.2500 0.2500 0.2500
3 P 0.5000 0.5000 0.5000

Computed properties:
Formation enthalpy at 0 K ... 0.75 eV/atom

[3]
# ZrBe2Os2

A crystal of ZrBe2Os2 relaxed with PBEsol (SCAN, Alexandria via LeMat-Bulk).

a = 6.4719 Å, b = 6.4719 Å, c = 3.0173 Å
α = 90.00°, β = 90.00°, γ = 90.00°
Positions (direct):
1 Zr 0.0000 0.0000 0.0000
2 Zr 0.5000 0.5000 0.0000
3 Be 0.1184 0.3816 0.0000
4 Be 0.3816 0.8816 0.0000
5 Be 0.6184 0.1184 0.0000
6 Be 0.8816 0.6184 0.0000
7 Os 0.1637 0.6637 0.5000
8 Os 0.3363 0.1637 0.5000
9 Os 0.6637 0.8363 0.5000
10 Os 0.8363 0.3363 0.5000

Computed properties:
Formation enthalpy at 0 K ... -0.45 eV/atom

[4]
# Y2CrRh

A crystal of Y2CrRh relaxed with PBEsol (SCAN, Alexandria via LeMat-Bulk).

a = 3.4543 Å, b = 3.4543 Å, c = 6.7639 Å
α = 90.00°, β = 90.00°, γ = 90.00°
Positions (direct):
1 Y 0.0000 0.0000 0.2394
2 Y 0.0000 0.0000 0.7606
3 Cr 0.5000 0.5000 0.5000
4 Rh 0.5000 0.5000 0.0000

Computed properties:
ΔE to the lowest computed polymorph ... 0.0 meV per atom
Formation enthalpy at 0 K ... -0.38 eV/atom

no.,mass density (g cm⁻³)
1,5.94
2,3.83
3,12.87
4,6.85